Compound: CsKMnF6
Source: Alexandria
Functional: GGA+U
Structure: relaxed

The structure in CIF format:
```
data_CsKMnF6
_chemical_formula_sum 'Cs1 K1 Mn1 F6'
_cell_length_a 5.6713
_cell_length_b 6.2809
_cell_length_c 6.2809
_cell_angle_alpha 120.00
_cell_angle_beta 90.00
_cell_angle_gamma 90.00
_space_group_name_H-M_alt 'P 1'
_space_group_IT_number 1
_space_group_name_Hall 'P 1'
loop_
_atom_site_label
_atom_site_type_symbol
_atom_site_fract_x
_atom_site_fract_y
_atom_site_fract_z
_atom_site_occupancy
Cs1 Cs 0.0000 0.3333 0.6667 1
K1 K 0.5000 0.6667 0.3333 1
Mn1 Mn 0.5000 0.0000 0.0000 1
F1 F 0.6868 0.7587 0.7565 1
F2 F 0.6868 0.2435 0.0022 1
F3 F 0.6868 0.9978 0.2413 1
F4 F 0.3132 0.2435 0.2413 1
F5 F 0.3132 0.7587 0.0022 1
F6 F 0.3132 0.9978 0.7565 1
```

Output
Raw total energy, eV/atom: -4.887
SG: P312 (149)